Density functional theory data (GGA+U) for RbMo2F11 after structural relaxation.

**Space-group type**: Ibam, No. 72
**Final energy**: -5.069 eV/atom

Cell and atoms, written as POSCAR:
```
RbMo2F11
1.0
-4.773 5.016 5.657
4.773 -5.016 5.657
4.773 5.016 -5.657
Rb Mo F
2 4 22
Direct
0.250 0.250 0.000
0.750 0.750 0.000
0.162 0.637 0.799
0.338 0.137 0.475
0.662 0.863 0.525
0.838 0.363 0.201
0.000 0.500 0.500
0.043 0.369 0.179
0.127 0.404 0.765
0.139 0.904 0.277
0.187 0.255 0.442
0.189 0.864 0.821
0.311 0.131 0.674
0.313 0.755 0.068
0.361 0.638 0.765
0.373 0.138 0.277
0.457 0.636 0.326
0.500 0.000 0.500
0.543 0.364 0.674
0.627 0.862 0.723
0.639 0.362 0.235
0.687 0.245 0.932
0.689 0.869 0.326
0.811 0.136 0.179
0.813 0.745 0.558
0.861 0.096 0.723
0.873 0.596 0.235
0.957 0.631 0.821
```